(1)
Compound: GdThPaSn
Source: Alexandria via LeMat-Bulk
Functional: PBE-GGA
Structure: relaxed

Unit cell a=5.4216 b=5.4216 c=5.4216 alpha=60.00 beta=60.00 gamma=60.00
Closest atoms and distances in Å follow each position.
Fractional coordinates of all 4 atoms:
Gd1 0.0000 0.0000 0.0000  4 Sn 3.32, 4 Pa 3.32
Th1 0.5000 0.5000 0.5000  4 Sn 3.32, 4 Pa 3.32
Pa1 0.2500 0.2500 0.2500  4 Gd 3.32, 4 Th 3.32
Sn1 0.7500 0.7500 0.7500  4 Th 3.32, 4 Gd 3.32

Computed properties:
symmetry	F-43m

(2)
Compound: GdTmPaSn
Source: Alexandria via LeMat-Bulk
Functional: PBE-GGA
Structure: relaxed

Unit cell a=5.3256 b=5.3256 c=5.3256 alpha=60.00 beta=60.00 gamma=60.00
Closest atoms and distances in Å follow each position.
Fractional coordinates of all 4 atoms:
Gd1 0.0000 0.0000 0.0000  4 Pa 3.26, 4 Sn 3.26
Tm1 0.5000 0.5000 0.5000  4 Pa 3.26, 4 Sn 3.26
Pa1 0.7500 0.7500 0.7500  4 Gd 3.26, 4 Tm 3.26
Sn1 0.2500 0.2500 0.2500  4 Gd 3.26, 4 Tm 3.26

Computed properties:
symmetry	F-43m

Number 1: electronic total energy -8.73 eV/atom, energy relative to the elements 2.3 kJ per mole of atoms, magnetic moment 2.2517 μB/atom. Number 2: electronic total energy -8.00 eV/atom, energy relative to the elements 1.4 kJ per mole of atoms, magnetic moment 2.2535 μB/atom.